The following is a PBE+U calculation of a relaxed structure of CoAsI2O, from Alexandria via LeMat-Bulk.

The density of states at the Fermi level is 0.87 states/eV per atom. The raw total energy comes out at -3.420 eV/atom. The value obtained for the energy above the most stable polymorph in this dataset is 0 meV/atom.

The space group is P4/mmm (No. 123) and the conventional cell measures 5.6068, 5.6068 and 3.5994 Å, with angles of 90.00, 90.00 and 90.00 degrees. Symmetry generates all atoms from Co at (0.0000, 0.0000, 0.0000), As at (0.5000, 0.5000, 0.5000), I at (0.0000, 0.5000, 0.0000) and O at (0.0000, 0.0000, 0.5000).